First-principles (PBE) data for an optimized crystal structure of UTaPbS6, as listed in the Alexandria database.

Structure (POSCAR):
```
UTaPbS6
1.0
6.5714 0.0000 0.0000
-3.2857 5.6910 0.0000
0.0000 0.0000 12.4997
U Ta Pb S
2 2 2 12
Direct
0.3333 0.6667 0.2500
0.6667 0.3333 0.7500
0.3333 0.6667 0.7500
0.6667 0.3333 0.2500
0.0000 0.0000 0.0000
0.0000 0.0000 0.5000
0.0166 0.3806 0.6342
0.0166 0.6361 0.8658
0.3639 0.3806 0.8658
0.3639 0.9834 0.6342
0.3806 0.0166 0.1342
0.3806 0.3639 0.3658
0.6194 0.6361 0.6342
0.6194 0.9834 0.8658
0.6361 0.0166 0.3658
0.6361 0.6194 0.1342
0.9834 0.3639 0.1342
0.9834 0.6194 0.3658
```

Results
E = -6.67 eV/atom
spin magnetization = 2.1 Bohr magnetons per cell
crystal system = trigonal